# PaCoH PBE relaxed
# N(E_F) = 10.6 states/eV per cell
# energy = -83.6 eV/cell
data_PaCoH
_space_group_name_H-M_alt 'C 1 c 1'
_space_group_IT_number 9
_cell_length_a 3.746
_cell_length_b 11.623
_cell_length_c 3.866
_cell_angle_alpha 90.00
_cell_angle_beta 100.80
_cell_angle_gamma 90.00
loop_
_space_group_symop_operation_xyz
'x,y,z'
'x,-y,z+1/2'
'x+1/2,y+1/2,z'
'x+1/2,-y+1/2,z+1/2'
loop_
_atom_site_label
_atom_site_fract_x
_atom_site_fract_y
_atom_site_fract_z
_atom_site_occupancy
Pa1 0.000 0.132 0.000 1
Co1 0.020 0.424 0.038 1
H1 0.059 0.311 0.792 1